Density functional theory data (meta-GGA SCAN) for a PBEsol-optimized structure of Fe2SbMo.

Properties
Formation energy without anion corrections ... 0.45 eV/atom
E ... -26.652 eV/atom

Lattice parameters (Å, degrees): 3.940 3.941 4.444 116.32 116.31 90.00
Each line ends with the local moment (μB).
Positions (direct):
Sb  0.000  0.500  0.000  -0.01
Fe  0.750  0.750  0.500  0.32
Fe  0.250  0.250  0.500  0.32
Mo  0.500  0.000  0.000  0.40